(1)
A plane-wave DFT calculation with PBE was carried out for a geometry-optimized GaFeSe2Br structure.

Lattice parameters (Å, degrees): 4.717 4.717 5.663 90.00 90.00 90.00
Sites, in units of the cell vectors:
Ga 0.500 0.500 0.500
Se 0.000 0.500 0.000
Se 0.500 0.000 0.000
Br 0.000 0.000 0.500
Fe 0.000 0.000 0.000

V = 126 Å³/cell
formation energy without anion corrections = -0.008 eV/atom
energy relative to the lowest polymorph listed for this composition = 0 meV/atom
symmetry = P4/mmm, No. 123

=====

(2)
A plane-wave DFT calculation with PBE was carried out for a geometry-optimized SmHo2Rh structure.

Lattice parameters (Å, degrees): 3.856 3.856 9.324 78.07 78.07 60.00
Sites, in units of the cell vectors:
Sm 0.502 0.502 0.495
Ho 0.058 0.058 0.826
Ho 0.274 0.274 0.177
Rh 0.666 0.666 0.002

V = 117 Å³/cell
formation energy = -0.3584 eV per atom
energy relative to the lowest polymorph listed for this composition = 157 meV/atom
symmetry = R3m, No. 160

=====

(3)
A plane-wave DFT calculation with PBE was carried out for a geometry-optimized ZrCl structure.

Lattice parameters (Å, degrees): 5.823 6.214 9.171 90.00 90.00 90.00
Sites, in units of the cell vectors:
Zr 0.833 0.204 0.980
Zr 0.333 0.296 0.020
Zr 0.167 0.704 0.520
Zr 0.667 0.796 0.480
Zr 0.418 0.905 0.800
Zr 0.918 0.595 0.200
Zr 0.582 0.405 0.700
Zr 0.082 0.095 0.300
Cl 0.160 0.888 0.048
Cl 0.660 0.612 0.952
Cl 0.840 0.388 0.452
Cl 0.340 0.112 0.548
Cl 0.178 0.528 0.788
Cl 0.678 0.972 0.212
Cl 0.822 0.028 0.712
Cl 0.322 0.472 0.288

V = 332 Å³/cell
formation energy without anion corrections = -0.681 eV/atom
symmetry = P2_12_12_1, No. 19